Be2NbBF: relaxed, PBE-GGA.

Calculated values
The value obtained for the uncorrected formation energy is 0.21 eV/atom. For the volume, the calculation gives 55 Å³/cell. The calculation puts the raw total energy at -5.0006 eV per atom. The space group is No. 123.

a = 3.415 Å, b = 4.689 Å, c = 3.415 Å
α = 90.00°, β = 90.00°, γ = 90.00°
Fractional coordinates of all 5 atoms:
Be 0.000 0.000 0.500
Be 0.500 0.000 0.000
Nb 0.000 0.500 0.000
B 0.500 0.500 0.500
F 0.000 0.000 0.000